No. 1
The following is a DFT calculation (GGA+U) of a relaxed structure of PaVCu2O6.

Unit cell a=5.223 b=5.314 c=5.779 alpha=90.24 beta=116.86 gamma=119.16
Space group P-1 (No. 2)
Inequivalent atoms, fractional coordinates:
Pa1 0.000 0.000 0.000 x1
V1 0.000 0.500 0.500 x1
Cu1 0.494 0.245 0.728 x2
O1 0.130 0.397 0.264 x2
O2 0.134 0.264 0.735 x2
O3 0.466 0.867 0.734 x2

Properties
total magnetization: 0.1 μB/f.u.
density: 7.01 Mg/m³
E: -74.119 eV per cell
calculated volume: 120 Å³/f.u.


No. 2
The following is a DFT calculation (GGA+U) of a relaxed structure of PaVCu2O8.

Unit cell a=6.626 b=6.626 c=6.510 alpha=90.00 beta=90.00 gamma=90.00
Space group I-4m2 (No. 119)
Inequivalent atoms, fractional coordinates:
Pa1 0.000 0.000 0.000 x2
V1 0.000 0.500 0.250 x2
Cu1 0.000 0.000 0.500 x2
Cu2 0.000 0.500 0.750 x2
O1 0.000 0.204 0.297 x8
O2 0.000 0.331 0.978 x8

Properties
total magnetization: 0.0 μB/f.u.
density: 6.24 Mg/m³
E: -164.517 eV per cell
calculated volume: 143 Å³/f.u.


No. 3
The following is a DFT calculation (GGA+U) of a relaxed structure of Pa2VCuO8.

Unit cell a=5.221 b=5.221 c=10.971 alpha=90.00 beta=90.00 gamma=90.00
Space group I-4 (No. 82)
Inequivalent atoms, fractional coordinates:
Pa1 0.000 0.000 0.000 x2
Pa2 0.000 0.500 0.250 x2
V1 0.000 0.500 0.750 x2
Cu1 0.000 0.000 0.500 x2
O1 0.172 0.267 0.834 x8
O2 0.187 0.699 0.407 x8

Properties
total magnetization: 0.1 μB/f.u.
density: 7.83 Mg/m³
E: -203.028 eV per cell
calculated volume: 150 Å³/f.u.


No. 4
The following is a DFT calculation (GGA+U) of a relaxed structure of PaCuWO6.

Unit cell a=5.5633 b=5.5633 c=9.0559 alpha=90.00 beta=90.00 gamma=120.00
Space group P-31c (No. 163)
Inequivalent atoms, fractional coordinates:
Pa1 0.3333 0.6667 0.2500 x2
Cu1 0.0000 0.0000 0.0000 x2
W1 0.3333 0.6667 0.7500 x2
O1 0.0306 0.3740 0.6335 x12

Properties
total magnetization: 0.1 μB/f.u.
density: 7.86 Mg/m³
E: -140.318 eV per cell
calculated volume: 121 Å³/f.u.


The lowest E belongs to which entry?
Pa2VCuO8


What is the total magnetization in the third record?
0.1 μB/f.u.


Number 4 is which compound?
PaCuWO6